Below is crystalline Ac2Sm12Dy5 at its relaxed geometry, with properties calculated at the GGA-PBE level.

Results
crystal system = monoclinic
raw total energy = -0.3310 Ry/atom
formation energy = 121 meV/atom
magnetization = 0.0000 μB/atom

a = 11.683 Å, b = 8.827 Å, c = 9.534 Å
α = 70.09°, β = 90.00°, γ = 131.44°
Fractional positions:
Dy (0.190, 0.379, 0.669)
Dy (0.693, 0.386, 0.759)
Dy (0.810, 0.621, 0.331)
Dy (0.000, 0.000, 0.500)
Dy (0.307, 0.614, 0.241)
Ac (0.735, 0.000, 0.000)
Ac (0.265, 0.000, 0.000)
Sm (0.607, 0.780, 0.425)
Sm (0.173, 0.780, 0.425)
Sm (0.393, 0.220, 0.575)
Sm (0.827, 0.220, 0.575)
Sm (0.577, 0.155, 0.224)
Sm (0.434, 0.380, 0.200)
Sm (0.946, 0.380, 0.200)
Sm (0.054, 0.620, 0.800)
Sm (0.127, 0.255, 0.057)
Sm (0.423, 0.845, 0.776)
Sm (0.566, 0.620, 0.800)
Sm (0.873, 0.745, 0.943)